No. 1
Material: TaAlCo2
Method: DFT, PBEsol
State: optimized geometry

Properties
For the energy, the calculation gives -8.393 eV/atom. As for the symmetry: P4/mmm (123). For the calculated formation energy, the calculation gives -35.1 kJ/mol of atoms. The value obtained for the volume is 12.7 Å³/atom.

abc: 4.2116 4.2116 2.8571
angles: 90.00 90.00 90.00
Fractional positions:
Ta (0.0000, 0.0000, 0.0000)
Al (0.5000, 0.5000, 0.0000)
Co (0.0000, 0.5000, 0.5000)
Co (0.5000, 0.0000, 0.5000)



No. 2
Material: TaAl2Co
Method: DFT, PBEsol
State: optimized geometry

Properties
For the energy, the calculation gives -7.307 eV/atom. As for the symmetry: I-4m2 (119). For the calculated formation energy, the calculation gives -18.2 kJ/mol of atoms. The value obtained for the volume is 14.1 Å³/atom.

abc: 4.7348 4.7348 4.7348
angles: 132.56 132.56 69.35
Fractional positions:
Ta (0.0000, 0.0000, 0.0000)
Al (0.5000, 0.5000, 0.0000)
Al (0.7500, 0.2500, 0.5000)
Co (0.2500, 0.7500, 0.5000)



No. 3
Material: TaAl2Co
Method: DFT, PBEsol
State: optimized geometry

Properties
For the energy, the calculation gives -7.550 eV/atom. As for the symmetry: P4/mmm (123). For the calculated formation energy, the calculation gives -41.7 kJ/mol of atoms. The value obtained for the volume is 13.7 Å³/atom.

abc: 2.8324 2.8324 6.8411
angles: 90.00 90.00 90.00
Fractional positions:
Ta (0.0000, 0.0000, 0.0000)
Al (0.5000, 0.5000, 0.2958)
Al (0.5000, 0.5000, 0.7042)
Co (0.0000, 0.0000, 0.5000)



No. 4
Material: Ta2AlCo
Method: DFT, PBEsol
State: optimized geometry

Properties
For the energy, the calculation gives -9.391 eV/atom. As for the symmetry: Cm (8). For the calculated formation energy, the calculation gives -15.3 kJ/mol of atoms. The value obtained for the volume is 15.0 Å³/atom.

abc: 5.2415 5.2415 4.5731
angles: 115.77 115.77 32.35
Fractional positions:
Ta (0.0000, 0.0000, 0.0000)
Ta (0.2321, 0.2321, 0.7328)
Al (0.7841, 0.7841, 0.2848)
Co (0.5018, 0.5018, 0.5013)



No. 5
Material: Ta3AlCo8
Method: DFT, PBEsol
State: optimized geometry

Properties
For the energy, the calculation gives -8.913 eV/atom. As for the symmetry: R3m (160). For the calculated formation energy, the calculation gives -26.6 kJ/mol of atoms. The value obtained for the volume is 12.0 Å³/atom.

abc: 8.0761 8.0761 8.0761
angles: 33.57 33.57 33.57
Fractional positions:
Ta (0.0000, 0.0000, 0.0000)
Ta (0.1251, 0.1251, 0.1251)
Ta (0.5064, 0.5064, 0.5064)
Al (0.6305, 0.6305, 0.6305)
Co (0.0654, 0.5660, 0.5660)
Co (0.0667, 0.0667, 0.5620)
Co (0.0667, 0.5620, 0.0667)
Co (0.3147, 0.3147, 0.3147)
Co (0.5620, 0.0667, 0.0667)
Co (0.5660, 0.0654, 0.5660)
Co (0.5660, 0.5660, 0.0654)
Co (0.8152, 0.8152, 0.8152)



No. 6
Material: TaAlCo2
Method: DFT, PBEsol
State: optimized geometry

Properties
For the energy, the calculation gives -8.438 eV/atom. As for the symmetry: P4/mmm (123). For the calculated formation energy, the calculation gives -39.5 kJ/mol of atoms. The value obtained for the volume is 12.5 Å³/atom.

abc: 2.7785 2.7785 6.4550
angles: 90.00 90.00 90.00
Fractional positions:
Ta (0.0000, 0.0000, 0.0000)
Al (0.0000, 0.0000, 0.5000)
Co (0.5000, 0.5000, 0.2723)
Co (0.5000, 0.5000, 0.7277)



> Number 1 is which compound?

TaAlCo2